# 1
Density functional theory data (GGA-PBE) for a geometry-optimized Rb3MnAs2 structure.

## Properties
- uncorrected energy (eV/atom) = -3.848
- SG = Ibam (72)
- density (g cm⁻³) = 3.54
- volume (Å³/f.u.) = 216.5
- ΔH_f (0 K) (eV/atom) = -0.29
- D(E_F) (states/eV/cell) = 3.1

abc: 9.194 9.194 9.194
angles: 124.71 73.15 136.09
Atoms (fractional coordinates):
Rb 0.184 0.691 0.875
Rb 0.250 0.250 0.000
Rb 0.316 0.191 0.508
Rb 0.684 0.809 0.492
Rb 0.750 0.750 0.000
Rb 0.816 0.309 0.125
Mn 0.250 0.750 0.500
Mn 0.750 0.250 0.500
As 0.079 0.331 0.410
As 0.421 0.831 0.251
As 0.579 0.169 0.749
As 0.921 0.669 0.590



# 2
Density functional theory data (GGA-PBE) for a geometry-optimized RbMnAs2 structure.

## Properties
- uncorrected energy (eV/atom) = -5.083
- SG = C2/c (15)
- E above lowest polymorph (meV/atom) = 0.2
- density (g cm⁻³) = 4.26
- volume (Å³/f.u.) = 113.2
- ΔH_f (0 K) (eV/atom) = -0.22
- D(E_F) (states/eV/cell) = 2.2

abc: 7.565 7.565 6.153
angles: 101.33 101.33 132.55
Atoms (fractional coordinates):
Rb 0.168 0.832 0.750
Rb 0.832 0.168 0.250
Mn 0.498 0.502 0.250
Mn 0.502 0.498 0.750
As 0.159 0.333 0.873
As 0.333 0.159 0.373
As 0.667 0.841 0.627
As 0.841 0.667 0.127



# 3
Density functional theory data (GGA-PBE) for a geometry-optimized Rb3Mn2As4 structure.

## Properties
- uncorrected energy (eV/atom) = -4.672
- SG = C2/c (15)
- density (g cm⁻³) = 3.82
- volume (Å³/f.u.) = 289.2
- ΔH_f (0 K) (eV/atom) = -0.24
- D(E_F) (states/eV/cell) = 7.6

abc: 9.244 9.244 7.213
angles: 97.13 97.13 71.72
Atoms (fractional coordinates):
Rb 0.084 0.916 0.750
Rb 0.242 0.517 0.444
Rb 0.483 0.758 0.056
Rb 0.517 0.242 0.944
Rb 0.758 0.483 0.556
Rb 0.916 0.084 0.250
Mn 0.097 0.337 0.946
Mn 0.337 0.097 0.446
Mn 0.663 0.903 0.554
Mn 0.903 0.663 0.054
As 0.143 0.238 0.633
As 0.158 0.571 0.962
As 0.238 0.143 0.133
As 0.429 0.842 0.538
As 0.571 0.158 0.462
As 0.762 0.857 0.867
As 0.842 0.429 0.038
As 0.857 0.762 0.367



# 4
Density functional theory data (GGA-PBE) for a geometry-optimized Rb2MnAsS4 structure.

## Properties
- uncorrected energy (eV/atom) = -4.692
- SG = Fddd (70)
- density (g cm⁻³) = 2.82
- volume (Å³/f.u.) = 252.3
- formation energy from raw total energies (meV/atom) = -659
- D(E_F) (states/eV/cell) = 1.2

abc: 13.641 12.229 7.496
angles: 83.84 63.04 33.11
Atoms (fractional coordinates):
Rb 0.054 0.054 0.696
Rb 0.304 0.304 0.946
Rb 0.696 0.696 0.054
Rb 0.946 0.946 0.304
Mn 0.125 0.125 0.125
Mn 0.875 0.875 0.875
As 0.375 0.375 0.375
As 0.625 0.625 0.625
S 0.016 0.335 0.423
S 0.273 0.577 0.665
S 0.335 0.016 0.727
S 0.423 0.727 0.016
S 0.577 0.273 0.984
S 0.665 0.984 0.273
S 0.727 0.423 0.335
S 0.984 0.665 0.577